(1)
# Sr2GaCu2O6, relaxed, DFT GGA-PBE
# space-group type: No. 166
data_Sr2GaCu2O6
_chemical_formula_sum 'Sr2 Ga1 Cu2 O6'
_cell_length_a 5.736
_cell_length_b 5.736
_cell_length_c 6.262
_cell_angle_alpha 62.74
_cell_angle_beta 62.74
_cell_angle_gamma 60.00
_symmetry_space_group_name_H-M 'P 1'
_symmetry_Int_Tables_number 1
loop_
_symmetry_equiv_pos_as_xyz
'x,y,z'
loop_
_atom_site_label
_atom_site_fract_x
_atom_site_fract_y
_atom_site_fract_z
O1 0.234 0.234 0.750
O2 0.234 0.782 0.750
O3 0.782 0.234 0.750
O4 0.218 0.766 0.250
O5 0.766 0.218 0.250
O6 0.766 0.766 0.250
Sr1 0.215 0.215 0.355
Sr2 0.785 0.785 0.645
Ga1 0.000 0.000 0.000
Cu1 0.414 0.414 0.757
Cu2 0.586 0.586 0.243

***

(2)
# MgZrTe2Br, relaxed, DFT GGA-PBE
# space-group type: No. 123
data_MgZrTe2Br
_chemical_formula_sum 'Mg1 Zr1 Te2 Br1'
_cell_length_a 5.221
_cell_length_b 5.221
_cell_length_c 5.874
_cell_angle_alpha 90.00
_cell_angle_beta 90.00
_cell_angle_gamma 90.00
_symmetry_space_group_name_H-M 'P 1'
_symmetry_Int_Tables_number 1
loop_
_symmetry_equiv_pos_as_xyz
'x,y,z'
loop_
_atom_site_label
_atom_site_fract_x
_atom_site_fract_y
_atom_site_fract_z
Mg1 0.000 0.000 0.000
Te1 0.500 0.000 0.000
Te2 0.000 0.500 0.000
Zr1 0.000 0.000 0.500
Br1 0.500 0.500 0.500

***

(3)
# BaMg2HgTe, relaxed, DFT GGA-PBE
# offset from the most stable computed form: 0.367 eV per atom
# space-group type: No. 123
data_BaMg2HgTe
_chemical_formula_sum 'Ba1 Mg2 Hg1 Te1'
_cell_length_a 5.466
_cell_length_b 6.910
_cell_length_c 5.466
_cell_angle_alpha 90.00
_cell_angle_beta 90.00
_cell_angle_gamma 90.00
_symmetry_space_group_name_H-M 'P 1'
_symmetry_Int_Tables_number 1
loop_
_symmetry_equiv_pos_as_xyz
'x,y,z'
loop_
_atom_site_label
_atom_site_fract_x
_atom_site_fract_y
_atom_site_fract_z
Hg1 0.000 0.500 0.000
Te1 0.000 0.000 0.000
Mg1 0.000 0.000 0.500
Mg2 0.500 0.000 0.000
Ba1 0.500 0.500 0.500

***

(4)
# ZrTaOsRh, relaxed, DFT GGA-PBE
# E_form: -448 meV per atom
# space-group type: No. 216
data_ZrTaOsRh
_chemical_formula_sum 'Zr1 Ta1 Os1 Rh1'
_cell_length_a 4.585
_cell_length_b 4.585
_cell_length_c 4.585
_cell_angle_alpha 60.00
_cell_angle_beta 60.00
_cell_angle_gamma 60.00
_symmetry_space_group_name_H-M 'P 1'
_symmetry_Int_Tables_number 1
loop_
_symmetry_equiv_pos_as_xyz
'x,y,z'
loop_
_atom_site_label
_atom_site_fract_x
_atom_site_fract_y
_atom_site_fract_z
Rh1 0.750 0.750 0.750
Os1 0.250 0.250 0.250
Zr1 0.500 0.500 0.500
Ta1 0.000 0.000 0.000

***

(5)
# CaAc2Tb2Au5, relaxed, DFT GGA-PBE
# E_form: -639 meV per atom
# space-group type: No. 127
data_CaAc2Tb2Au5
_chemical_formula_sum 'Ca2 Ac4 Tb4 Au10'
_cell_length_a 3.838
_cell_length_b 11.999
_cell_length_c 11.999
_cell_angle_alpha 90.00
_cell_angle_beta 90.00
_cell_angle_gamma 90.00
_symmetry_space_group_name_H-M 'P 1'
_symmetry_Int_Tables_number 1
loop_
_symmetry_equiv_pos_as_xyz
'x,y,z'
loop_
_atom_site_label
_atom_site_fract_x
_atom_site_fract_y
_atom_site_fract_z
Tb1 0.000 0.132 0.632
Tb2 0.000 0.368 0.132
Tb3 0.000 0.868 0.368
Tb4 0.000 0.632 0.868
Ac1 0.000 0.331 0.831
Ac2 0.000 0.169 0.331
Ac3 0.000 0.669 0.169
Ac4 0.000 0.831 0.669
Au1 0.500 0.395 0.321
Au2 0.500 0.105 0.821
Au3 0.500 0.605 0.679
Au4 0.500 0.821 0.895
Au5 0.500 0.679 0.395
Au6 0.500 0.000 0.500
Au7 0.500 0.895 0.179
Au8 0.500 0.179 0.105
Au9 0.500 0.500 0.000
Au10 0.500 0.321 0.605
Ca1 0.000 0.500 0.500
Ca2 0.000 0.000 0.000

***

(6)
# RbTlPt2, relaxed, DFT GGA-PBE
# E_form: -127 meV per atom
# offset from the most stable computed form: 0.053 eV per atom
# space-group type: No. 166
data_RbTlPt2
_chemical_formula_sum 'Rb1 Tl1 Pt2'
_cell_length_a 4.770
_cell_length_b 4.770
_cell_length_c 6.794
_cell_angle_alpha 69.45
_cell_angle_beta 69.45
_cell_angle_gamma 60.00
_symmetry_space_group_name_H-M 'P 1'
_symmetry_Int_Tables_number 1
loop_
_symmetry_equiv_pos_as_xyz
'x,y,z'
loop_
_atom_site_label
_atom_site_fract_x
_atom_site_fract_y
_atom_site_fract_z
Pt1 0.324 0.324 0.028
Pt2 0.676 0.676 0.972
Rb1 0.500 0.500 0.500
Tl1 0.000 0.000 0.000

***

| no. | VASP energy (eV/atom) |
| --- | --- |
| 1 | -5.5603 |
| 2 | -3.1755 |
| 3 | -1.7197 |
| 4 | -10.1939 |
| 5 | -4.2254 |
| 6 | -3.9808 |